Nd4Dy7Th | the Alexandria database | GGA-PBE | relaxed; energy above the most stable polymorph in this dataset = 25.8 kJ per mole of atoms; energy relative to the elements = 333.0 kJ/mol of formula units; magnetic moment = 0.00 μB/f.u.; DOS(E_F) = 1.50 states/eV per atom; final energy = -0.338 Ry per atom; SG = C2/m, No. 12
1.0
6.0906 -2.9909 0.0000
6.0906 2.9909 0.0000
-6.0275 0.0000 11.2903
Nd Dy Th
4 7 1
direct
0.0596 0.0596 0.3304
0.3614 0.3614 0.2227
0.6386 0.6386 0.7773
0.9404 0.9404 0.6696
0.0000 0.0000 0.0000
0.2104 0.2104 0.9236
0.2504 0.2504 0.6841
0.3648 0.3648 0.4960
0.6352 0.6352 0.5040
0.7496 0.7496 0.3159
0.7896 0.7896 0.0764
0.5000 0.5000 0.0000